Entry 1:
## Tb2ZnF8 (PBE-GGA)

Data for a relaxed structure of Tb2ZnF8.

a b c (Å): 3.4231 5.7740 8.1585
angles (deg): 88.84 102.11 90.00
Last column: nearest neighbours and their distance in Å.
Fractional positions:
F1 0.6068 0.4609 0.2135  2 Tb 2.19
F2 0.9842 0.2171 0.9684  2 Zn 2.13, 1 Tb 2.31
F3 0.7564 0.6721 0.5127  3 Tb 2.35-2.37, 1 F 2.53
Tb1 0.8459 0.3435 0.6917  8 F 2.19-2.37
F4 0.0158 0.7829 0.0316  2 Zn 2.13, 1 Tb 2.31
Tb2 0.1541 0.6565 0.3083  8 F 2.19-2.37
F5 0.3728 0.0677 0.7456  1 Zn 2.06
F6 0.3932 0.5391 0.7865  2 Tb 2.19
F7 0.2436 0.3279 0.4873  3 Tb 2.35-2.37, 1 F 2.53
F8 0.6272 0.9323 0.2544  1 Zn 2.06
Zn1 0.5000 0.0000 0.0000  6 F 2.06-2.13

Energy above the lowest structure with this stoichiometry (meV per atom): 73
ΔE_f (raw) (eV per formula unit): -39.03

---

Entry 2:
## Tb2ZrF (PBE-GGA)

Data for a relaxed structure of Tb2ZrF.

a b c (Å): 3.2171 3.2171 10.3150
angles (deg): 81.03 81.03 60.00
Last column: nearest neighbours and their distance in Å.
Fractional positions:
Zr1 0.0000 0.0000 0.0000  2 Tb 3.18, 6 Zr 3.22
Tb1 0.1044 0.1044 0.6868  3 F 2.65
F1 0.5000 0.5000 0.5000  6 Tb 2.65
Tb2 0.8956 0.8956 0.3132  3 F 2.65

ΔE_f (raw) (eV per formula unit): -3.13

---

Entry 3:
## TbZrF7 (PBE-GGA)

Data for a relaxed structure of TbZrF7.

a b c (Å): 5.8614 6.1267 8.3491
angles (deg): 76.91 90.00 90.00
Last column: nearest neighbours and their distance in Å.
Fractional positions:
F1 0.2009 0.7682 0.0238  1 Zr 2.04
F2 0.7065 0.1386 0.4744  1 Zr 2.03
F3 0.9598 0.5757 0.7926  1 Zr 2.04
Zr1 0.7048 0.1830 0.2258  6 F 2.03-2.06
F4 0.4228 0.4751 0.5110  2 Tb 2.20-2.22
F5 0.4683 0.9306 0.2457  1 Zr 2.06, 1 Tb 2.30
Tb1 0.2000 0.6518 0.3120  8 F 2.20-2.42
F6 0.9683 0.0694 0.7543  1 Zr 2.06, 1 Tb 2.30
F7 0.9428 0.9348 0.2385  1 Zr 2.05, 1 Tb 2.27
F8 0.4705 0.5958 0.7913  1 Zr 2.05
Tb2 0.7000 0.3482 0.6880  8 F 2.20-2.42
F9 0.7009 0.2318 0.9762  1 Zr 2.04
F10 0.9228 0.5249 0.4890  2 Tb 2.20-2.22
Zr2 0.2048 0.8170 0.7742  6 F 2.03-2.06
F11 0.4428 0.0652 0.7615  1 Zr 2.05, 1 Tb 2.27
F12 0.9705 0.4042 0.2087  1 Zr 2.05
F13 0.2065 0.8614 0.5256  1 Zr 2.03
F14 0.4598 0.4243 0.2074  1 Zr 2.04

ΔE_f (raw) (eV per formula unit): -35.18

---

Entry 4:
## TcF6 (PBE-GGA)

Data for a relaxed structure of TcF6.

a b c (Å): 5.1277 8.8446 9.6768
angles (deg): 90.00 90.00 90.00
Last column: nearest neighbours and their distance in Å.
Fractional positions:
F1 0.5644 0.1015 0.7609  1 Tc 1.86
F2 0.4356 0.8985 0.2391  1 Tc 1.86
F3 0.2644 0.3984 0.9809  1 Tc 1.86
F4 0.2356 0.1016 0.4809  1 Tc 1.86
F5 0.3793 0.2500 0.2583  1 Tc 1.86
F6 0.6207 0.7500 0.7417  1 Tc 1.86
F7 0.5644 0.3985 0.7609  1 Tc 1.86
Tc1 0.9148 0.7500 0.6291  6 F 1.86
F8 0.0644 0.8985 0.7391  1 Tc 1.86
Tc2 0.5852 0.7500 0.1291  6 F 1.86
F9 0.2644 0.1016 0.9809  1 Tc 1.86
F10 0.9356 0.1015 0.2609  1 Tc 1.86
F11 0.2356 0.3984 0.4809  1 Tc 1.86
F12 0.2918 0.7500 0.0165  1 Tc 1.86
Tc3 0.0852 0.2500 0.3709  6 F 1.86
F13 0.7356 0.6016 0.0191  1 Tc 1.86
F14 0.7644 0.8984 0.5191  1 Tc 1.86
F15 0.8793 0.7500 0.2417  1 Tc 1.86
F16 0.4356 0.6015 0.2391  1 Tc 1.86
Tc4 0.4148 0.2500 0.8709  6 F 1.86
F17 0.9356 0.3985 0.2609  1 Tc 1.86
F18 0.1207 0.2500 0.7583  1 Tc 1.86
F19 0.7356 0.8984 0.0191  1 Tc 1.86
F20 0.7918 0.2500 0.4835  1 Tc 1.86
F21 0.2082 0.7500 0.5165  1 Tc 1.86
F22 0.7644 0.6016 0.5191  1 Tc 1.86
F23 0.0644 0.6015 0.7391  1 Tc 1.86
F24 0.7082 0.2500 0.9835  1 Tc 1.86

Energy above the lowest structure with this stoichiometry (meV per atom): 0
ΔE_f (raw) (eV per formula unit): -13.64